No. 1
Crystalline SmPaSeN2 at its relaxed geometry. Source: Alexandria, functional PBE.

Calculated values
The space group is No. 107. The calculation puts the formation energy (no corrections) at -170.28 kJ per mole of atoms. The calculation puts the total magnetization at 0.000 μB per formula unit. The electronic total energy comes out at -8.63 eV per atom.

Unit cell a=3.927 b=3.927 c=12.359 alpha=90.00 beta=90.00 gamma=90.00
Positions (direct):
Sm  0.000  0.000  0.000
Sm  0.500  0.500  0.500
Pa  0.000  0.000  0.317
Pa  0.500  0.500  0.817
Se  0.000  0.000  0.656
Se  0.500  0.500  0.156
N  0.000  0.500  0.395
N  0.000  0.500  0.895
N  0.500  0.000  0.395
N  0.500  0.000  0.895


No. 2
Crystalline TbPaSe2N at its relaxed geometry. Source: Alexandria, functional PBE.

Calculated values
The space group is No. 129. The calculation puts the formation energy (no corrections) at -173.86 kJ per mole of atoms. The calculation puts the total magnetization at 0.333 μB per formula unit. The electronic total energy comes out at -7.69 eV per atom.

Unit cell a=3.949 b=3.949 c=13.970 alpha=90.00 beta=90.00 gamma=90.00
Positions (direct):
Tb  0.250  0.250  0.099
Tb  0.750  0.750  0.901
Pa  0.250  0.250  0.585
Pa  0.750  0.750  0.415
Se  0.250  0.250  0.310
Se  0.250  0.250  0.887
Se  0.750  0.750  0.113
Se  0.750  0.750  0.690
N  0.250  0.750  0.500
N  0.750  0.250  0.500


No. 3
Crystalline TbPaSeN2 at its relaxed geometry. Source: Alexandria, functional PBE.

Calculated values
The space group is No. 107. The calculation puts the formation energy (no corrections) at -172.95 kJ per mole of atoms. The calculation puts the total magnetization at 0.000 μB per formula unit. The electronic total energy comes out at -8.64 eV per atom.

Unit cell a=3.904 b=3.904 c=12.220 alpha=90.00 beta=90.00 gamma=90.00
Positions (direct):
Tb  0.000  0.000  0.000
Tb  0.500  0.500  0.500
Pa  0.000  0.000  0.319
Pa  0.500  0.500  0.819
Se  0.000  0.000  0.658
Se  0.500  0.500  0.158
N  0.000  0.500  0.399
N  0.000  0.500  0.899
N  0.500  0.000  0.399
N  0.500  0.000  0.899


No. 4
Crystalline Tb2PaSe2N2 at its relaxed geometry. Source: Alexandria, functional PBE.

Calculated values
The space group is No. 139. The calculation puts the formation energy (no corrections) at -142.70 kJ per mole of atoms. The calculation puts the total magnetization at 0.000 μB per formula unit. The electronic total energy comes out at -7.53 eV per atom.

Unit cell a=4.375 b=4.375 c=15.021 alpha=90.00 beta=90.00 gamma=90.00
Positions (direct):
Tb  0.000  0.000  0.115
Tb  0.000  0.000  0.885
Tb  0.500  0.500  0.385
Tb  0.500  0.500  0.615
Pa  0.000  0.000  0.500
Pa  0.500  0.500  0.000
Se  0.000  0.000  0.312
Se  0.000  0.000  0.688
Se  0.500  0.500  0.188
Se  0.500  0.500  0.812
N  0.000  0.500  0.000
N  0.000  0.500  0.500
N  0.500  0.000  0.000
N  0.500  0.000  0.500


No. 5
Crystalline ThPaSe2N at its relaxed geometry. Source: Alexandria, functional PBE.

Calculated values
The space group is No. 129. The calculation puts the formation energy (no corrections) at -155.80 kJ per mole of atoms. The calculation puts the total magnetization at 0.507 μB per formula unit. The electronic total energy comes out at -8.06 eV per atom.

Unit cell a=4.061 b=4.061 c=14.181 alpha=90.00 beta=90.00 gamma=90.00
Positions (direct):
Th  0.250  0.250  0.083
Th  0.750  0.750  0.917
Pa  0.250  0.250  0.602
Pa  0.750  0.750  0.398
Se  0.250  0.250  0.390
Se  0.250  0.250  0.795
Se  0.750  0.750  0.205
Se  0.750  0.750  0.610
N  0.250  0.750  0.000
N  0.750  0.250  0.000


No. 6
Crystalline PaTiSe2N at its relaxed geometry. Source: Alexandria, functional PBE.

Calculated values
The space group is No. 129. The calculation puts the formation energy (no corrections) at -141.08 kJ per mole of atoms. The calculation puts the total magnetization at 0.000 μB per formula unit. The electronic total energy comes out at -8.00 eV per atom.

Unit cell a=3.760 b=3.760 c=13.214 alpha=90.00 beta=90.00 gamma=90.00
Positions (direct):
Pa  0.250  0.250  0.096
Pa  0.750  0.750  0.904
Ti  0.250  0.250  0.581
Ti  0.750  0.750  0.419
Se  0.250  0.250  0.387
Se  0.250  0.250  0.791
Se  0.750  0.750  0.209
Se  0.750  0.750  0.613
N  0.250  0.750  0.000
N  0.750  0.250  0.000